Model P:
Crystalline LaTb12Er6 at its relaxed geometry. Source: Alexandria, functional PBE-GGA.

Its volume is 1858.35 Å³ per cell.

It has space group R-3 (No. 148, hexagonal axes), with a = 11.9050 Å, b = 11.9050 Å, c = 15.1405 Å, α = 90.00°, β = 90.00° and γ = 120.00°. The inequivalent atoms are La at (0.0000, 0.0000, 0.0000), Tb at (0.0149, 0.8339, 0.1918), Tb at (0.0412, 0.8501, 0.4161) and Er at (0.0088, 0.4229, 0.6808).


Model Q:
Crystalline LaTb12Er6 at its relaxed geometry. Source: Alexandria, functional PBE-GGA.

Its volume is 1969.07 Å³ per cell.

It has space group R-3m (No. 166, hexagonal axes), with a = 15.0100 Å, b = 15.0100 Å, c = 10.0917 Å, α = 90.00°, β = 90.00° and γ = 120.00°. The inequivalent atoms are La at (0.0000, 0.0000, 0.0000), Tb at (0.0000, 0.3891, 0.5000), Tb at (0.0726, 0.1452, 0.3026) and Er at (0.0490, 0.5245, 0.2138).


How do the energies compare? Relative to the most stable structure, in kJ/mol of atoms: model P 0.0; model Q 26.2.